[1]
Compound: ReRu
Source: the Alexandria database
Functional: GGA-PBE
Structure: optimized geometry

a b c (Å): 4.736 4.736 4.736
angles (deg): 131.83 131.83 70.49
Atoms (fractional coordinates):
Re 0.375 0.625 0.750
Re 0.625 0.375 0.250
Ru 0.125 0.875 0.250
Ru 0.875 0.125 0.750

Formation energy from the elements (eV/atom): 0.031
V (A^3/atom): 14.4
Symmetry: I4_1/amd
Magnetic moment (μB/f.u.): 0.00
Energy (eV/cell): -43.32
Theoretical density (g/cm³): 16.52
D(E_F) (states/eV per cell): 3.59



[2]
Compound: ZrCdAsSe2
Source: the Alexandria database
Functional: GGA-PBE
Structure: optimized geometry

a b c (Å): 5.086 5.086 5.040
angles (deg): 90.00 90.00 90.00
Atoms (fractional coordinates):
Zr 0.000 0.000 0.000
Cd 0.500 0.500 0.500
As 0.500 0.500 0.000
Se 0.000 0.500 0.500
Se 0.500 0.000 0.500

V (A^3/atom): 26.1
Symmetry: P4/mmm
Magnetic moment (μB/f.u.): 0.00
Energy (eV/cell): -18.28
Theoretical density (g/cm³): 5.56
D(E_F) (states/eV per cell): 4.40



[3]
Compound: SmY2Er
Source: the Alexandria database
Functional: GGA-PBE
Structure: optimized geometry

a b c (Å): 6.745 6.745 6.745
angles (deg): 148.61 65.32 124.33
Atoms (fractional coordinates):
Sm 0.000 0.000 0.000
Y 0.416 0.665 0.752
Y 0.913 0.665 0.248
Er 0.497 0.997 0.500

Formation energy from the elements (eV/atom): 0.008
V (A^3/atom): 32.6
Symmetry: Imm2
Magnetic moment (μB/f.u.): 0.00
Energy (eV/cell): -22.18
Theoretical density (g/cm³): 6.30
D(E_F) (states/eV per cell): 7.16



[4]
Compound: YZrCu2
Source: the Alexandria database
Functional: GGA-PBE
Structure: optimized geometry

a b c (Å): 7.673 7.673 7.673
angles (deg): 27.51 27.51 27.51
Atoms (fractional coordinates):
Y 0.000 0.000 0.000
Zr 0.500 0.500 0.500
Cu 0.244 0.244 0.244
Cu 0.756 0.756 0.756

Formation energy from the elements (eV/atom): 0.123
V (A^3/atom): 21.3
Symmetry: R-3m
Magnetic moment (μB/f.u.): 0.00
Energy (eV/cell): -22.71
Theoretical density (g/cm³): 6.00
D(E_F) (states/eV per cell): 4.56



[5]
Compound: LiTmHgPt
Source: the Alexandria database
Functional: GGA-PBE
Structure: optimized geometry

a b c (Å): 4.799 4.799 4.799
angles (deg): 60.00 60.00 60.00
Atoms (fractional coordinates):
Li 0.000 0.000 0.000
Tm 0.500 0.500 0.500
Hg 0.250 0.250 0.250
Pt 0.750 0.750 0.750

Formation energy from the elements (eV/atom): -0.659
V (A^3/atom): 19.5
Symmetry: F-43m
Magnetic moment (μB/f.u.): 0.00
Energy (eV/cell): -15.37
Theoretical density (g/cm³): 12.14
D(E_F) (states/eV per cell): 1.63



[6]
Compound: Ca2MgSe3
Source: the Alexandria database
Functional: GGA-PBE
Structure: optimized geometry

a b c (Å): 7.122 7.122 7.122
angles (deg): 146.55 131.31 60.36
Atoms (fractional coordinates):
Ca 0.167 0.167 0.000
Ca 0.833 0.833 0.000
Mg 0.500 0.500 0.000
Se 0.000 0.500 0.500
Se 0.345 0.845 0.500
Se 0.655 0.155 0.500

V (A^3/atom): 24.7
Symmetry: Immm
Magnetic moment (μB/f.u.): 0.00
Energy (eV/cell): -26.49
Theoretical density (g/cm³): 3.83
D(E_F) (states/eV per cell): 0.00



- Which of these has the highest theoretical density?
  ReRu



- Which value of magnetic moment does entry 2 give?
  0.00 μB/f.u.



- Which of these has the highest energy?
  LiTmHgPt